# 1
The following is a PBE calculation of a relaxed Sn3TeSe3 crystal, from Alexandria.

extended XYZ file:
```
14
Lattice="5.856 0.000 0.000 0.000 8.088 2.301 0.000 -2.028 8.160" Properties=species:S:1:pos:R:3 pbc="T T T"
Sn 4.392 3.297 8.599
Sn 4.392 0.242 3.323
Sn 4.392 -0.651 7.362
Sn 1.464 2.762 1.862
Sn 1.464 5.818 7.138
Sn 1.464 6.710 3.099
Te 4.392 1.915 5.876
Te 1.464 4.144 4.585
Se 1.464 3.358 8.699
Se 1.464 0.184 3.221
Se 1.464 -0.840 7.472
Se 4.392 2.702 1.762
Se 4.392 5.875 7.240
Se 4.392 6.899 2.989
```

Output
* total moment: 0.00 μB per formula unit
* E above lowest polymorph: 11 meV per atom
* raw total energy: -3.958 eV/atom


# 2
The following is a PBE calculation of a relaxed Sc3V crystal, from Alexandria.

extended XYZ file:
```
4
Lattice="3.147 0.000 0.000 0.000 5.463 0.000 -1.574 -2.732 4.896" Properties=species:S:1:pos:R:3 pbc="T T T"
Sc 0.000 1.852 2.591
Sc 1.574 2.615 0.000
Sc 1.574 -0.880 2.305
V 0.000 0.056 0.000
```

Output
* total moment: 0.00 μB per formula unit
* ΔE_f: 0.22 eV per atom
* E above lowest polymorph: 47 meV per atom
* raw total energy: -6.804 eV/atom